1.
# Hf3TlSi5

A relaxed structure of Hf3TlSi5 (PBE-GGA, OQMD).

Unit cell a=5.7977 b=5.7977 c=6.6689 alpha=90.00 beta=90.00 gamma=120.00
Atoms (fractional coordinates):
Hf 0.0000 0.5000 0.0000
Hf 0.5000 0.0000 0.0000
Hf 0.5000 0.5000 0.0000
Tl 0.0000 0.0000 0.5000
Si 0.0000 0.0000 0.0000
Si 0.3333 0.6667 0.3266
Si 0.3333 0.6667 0.6734
Si 0.6667 0.3333 0.3266
Si 0.6667 0.3333 0.6734

Summary:
* calculated density: 7.53 g/cm3
* space-group type: No. 191
* E: -58.37 eV/f.u.



2.
# HfNiOsPb

A relaxed structure of HfNiOsPb (PBE-GGA, OQMD).

Unit cell a=6.5427 b=6.5427 c=6.5427 alpha=90.00 beta=90.00 gamma=90.00
Atoms (fractional coordinates):
Hf 0.0000 0.0000 0.0000
Hf 0.0000 0.5000 0.5000
Hf 0.5000 0.0000 0.5000
Hf 0.5000 0.5000 0.0000
Ni 0.0000 0.0000 0.5000
Ni 0.0000 0.5000 0.0000
Ni 0.5000 0.0000 0.0000
Ni 0.5000 0.5000 0.5000
Os 0.2500 0.2500 0.7500
Os 0.2500 0.7500 0.2500
Os 0.7500 0.2500 0.2500
Os 0.7500 0.7500 0.7500
Pb 0.2500 0.2500 0.2500
Pb 0.2500 0.7500 0.7500
Pb 0.7500 0.2500 0.7500
Pb 0.7500 0.7500 0.2500

Summary:
* calculated density: 15.05 g/cm3
* space-group type: No. 216
* E: -28.85 eV/f.u.



3.
# BaSrCuSi3

A relaxed structure of BaSrCuSi3 (PBE-GGA, OQMD).

Unit cell a=8.6648 b=8.2951 c=6.4131 alpha=70.88 beta=64.76 gamma=44.37
Atoms (fractional coordinates):
Ba 0.2452 0.7548 0.2452
Ba 0.7548 0.2452 0.7548
Sr 0.2500 0.2500 0.2500
Sr 0.7500 0.7500 0.7500
Cu 0.3322 0.3322 0.6678
Cu 0.6678 0.6678 0.3322
Si 0.1668 0.6636 0.8332
Si 0.1680 0.1680 0.8320
Si 0.3364 0.8332 0.6636
Si 0.6636 0.1668 0.3364
Si 0.8320 0.8320 0.1680
Si 0.8332 0.3364 0.1668

Summary:
* calculated density: 4.25 g/cm3
* space-group type: No. 69
* E above lowest polymorph: 0.0 meV/atom
* E: -26.28 eV/f.u.



4.
# LiTa3Ge5

A relaxed structure of LiTa3Ge5 (PBE-GGA, OQMD).

Unit cell a=5.5786 b=5.5786 c=6.7162 alpha=90.00 beta=90.00 gamma=120.00
Atoms (fractional coordinates):
Li 0.0000 0.0000 0.0000
Ta 0.0000 0.5000 0.5000
Ta 0.5000 0.0000 0.5000
Ta 0.5000 0.5000 0.5000
Ge 0.0000 0.0000 0.5000
Ge 0.3333 0.6667 0.1813
Ge 0.3333 0.6667 0.8187
Ge 0.6667 0.3333 0.1813
Ge 0.6667 0.3333 0.8187

Summary:
* calculated density: 8.38 g/cm3
* space-group type: No. 191
* E: -60.38 eV/f.u.



5.
# NdSnBC2

A relaxed structure of NdSnBC2 (PBE-GGA, OQMD).

Unit cell a=5.4430 b=5.4415 c=5.9949 alpha=90.00 beta=116.35 gamma=90.00
Atoms (fractional coordinates):
Nd 0.0000 0.0000 0.0000
Nd 0.5000 0.5000 0.0000
Sn 0.3035 0.0000 0.5950
Sn 0.8035 0.5000 0.5950
B 0.1374 0.5000 0.2709
B 0.6374 0.0000 0.2709
C 0.0010 0.5000 0.0034
C 0.2780 0.5000 0.5469
C 0.5010 0.0000 0.0034
C 0.7780 0.0000 0.5469

Summary:
* calculated density: 6.22 g/cm3
* space-group type: No. 8
* E: -32.62 eV/f.u.



6.
# Ta4ZnSiN2

A relaxed structure of Ta4ZnSiN2 (PBE-GGA, OQMD).

Unit cell a=3.0234 b=3.0234 c=13.7878 alpha=90.00 beta=90.00 gamma=120.00
Atoms (fractional coordinates):
Ta 0.0000 0.0000 0.1465
Ta 0.0000 0.0000 0.8535
Ta 0.6667 0.3333 0.3391
Ta 0.6667 0.3333 0.6609
Zn 0.0000 0.0000 0.5000
Si 0.6667 0.3333 0.0000
N 0.3333 0.6667 0.2429
N 0.3333 0.6667 0.7571

Summary:
* calculated density: 12.86 g/cm3
* space-group type: No. 187
* E: -74.96 eV/f.u.



7.
# La2NbTl

A relaxed structure of La2NbTl (PBE-GGA, OQMD).

Unit cell a=7.4771 b=7.4771 c=7.4771 alpha=90.00 beta=90.00 gamma=90.00
Atoms (fractional coordinates):
La 0.0000 0.0000 0.0000
La 0.0000 0.5000 0.5000
La 0.2500 0.2500 0.2500
La 0.2500 0.7500 0.7500
La 0.5000 0.0000 0.5000
La 0.5000 0.5000 0.0000
La 0.7500 0.2500 0.7500
La 0.7500 0.7500 0.2500
Nb 0.2500 0.2500 0.7500
Nb 0.2500 0.7500 0.2500
Nb 0.7500 0.2500 0.2500
Nb 0.7500 0.7500 0.7500
Tl 0.0000 0.0000 0.5000
Tl 0.0000 0.5000 0.0000
Tl 0.5000 0.0000 0.0000
Tl 0.5000 0.5000 0.5000

Summary:
* calculated density: 9.14 g/cm3
* space-group type: No. 216
* E: -21.32 eV/f.u.



8.
# NaSr2CoH6

A relaxed structure of NaSr2CoH6 (PBE-GGA, OQMD).

Unit cell a=5.4153 b=5.4153 c=5.4153 alpha=60.00 beta=60.00 gamma=60.00
Atoms (fractional coordinates):
Na 0.0000 0.0000 0.0000
Sr 0.2500 0.2500 0.2500
Sr 0.7500 0.7500 0.7500
Co 0.5000 0.5000 0.5000
H 0.2849 0.2849 0.7151
H 0.2849 0.7151 0.2849
H 0.2849 0.7151 0.7151
H 0.7151 0.2849 0.2849
H 0.7151 0.2849 0.7151
H 0.7151 0.7151 0.2849

Summary:
* calculated density: 3.89 g/cm3
* space-group type: No. 225
* E: -35.43 eV/f.u.



9.
# PmAs

A relaxed structure of PmAs (PBE-GGA, OQMD).

Unit cell a=6.3798 b=5.7256 c=5.6825 alpha=90.00 beta=90.00 gamma=90.00
Atoms (fractional coordinates):
Pm 0.0000 0.0000 0.0000
Pm 0.2500 0.5000 0.3511
Pm 0.5000 0.0000 0.0000
Pm 0.7500 0.5000 0.6489
As 0.2500 0.0000 0.4836
As 0.2500 0.5000 0.8552
As 0.7500 0.0000 0.5164
As 0.7500 0.5000 0.1448

Summary:
* calculated density: 7.04 g/cm3
* space-group type: No. 51
* E above lowest polymorph: 618.7 meV/atom
* E: -11.22 eV/f.u.



10.
# Sc2ZnPt

A relaxed structure of Sc2ZnPt (PBE-GGA, OQMD).

Unit cell a=4.6030 b=4.6030 c=6.7876 alpha=90.00 beta=90.00 gamma=90.00
Atoms (fractional coordinates):
Sc 0.0000 0.5000 0.2500
Sc 0.0000 0.5000 0.7500
Sc 0.5000 0.0000 0.2500
Sc 0.5000 0.0000 0.7500
Zn 0.0000 0.0000 0.0000
Zn 0.5000 0.5000 0.5000
Pt 0.0000 0.0000 0.5000
Pt 0.5000 0.5000 0.0000

Summary:
* calculated density: 8.09 g/cm3
* space-group type: No. 139
* formation energy: -833 meV per atom
* E: -23.31 eV/f.u.



11.
# NdYSi4Pd2

A relaxed structure of NdYSi4Pd2 (PBE-GGA, OQMD).

Unit cell a=4.1747 b=4.1938 c=16.9454 alpha=90.00 beta=90.00 gamma=90.00
Atoms (fractional coordinates):
Nd 0.0000 0.0000 0.0000
Nd 0.0000 0.5000 0.5000
Y 0.5000 0.0000 0.2053
Y 0.5000 0.5000 0.7053
Si 0.0000 0.0000 0.3507
Si 0.0000 0.0000 0.6376
Si 0.0000 0.5000 0.1376
Si 0.0000 0.5000 0.8507
Si 0.5000 0.0000 0.5685
Si 0.5000 0.0000 0.8516
Si 0.5000 0.5000 0.0685
Si 0.5000 0.5000 0.3516
Pd 0.0000 0.0000 0.7779
Pd 0.0000 0.5000 0.2779
Pd 0.5000 0.0000 0.4253
Pd 0.5000 0.5000 0.9253

Summary:
* calculated density: 6.25 g/cm3
* space-group type: No. 38
* E: -49.88 eV/f.u.



12.
# TcIrO4

A relaxed structure of TcIrO4 (PBE-GGA, OQMD).

Unit cell a=6.4113 b=6.4721 c=3.1287 alpha=90.00 beta=90.00 gamma=90.00
Atoms (fractional coordinates):
Tc 0.0000 0.0000 0.0000
Tc 0.5000 0.5000 0.0000
Ir 0.0000 0.5000 0.5000
Ir 0.5000 0.0000 0.5000
O 0.0000 0.1944 0.5000
O 0.0000 0.8056 0.5000
O 0.1960 0.5000 0.0000
O 0.3040 0.0000 0.0000
O 0.5000 0.3056 0.5000
O 0.5000 0.6944 0.5000
O 0.6960 0.0000 0.0000
O 0.8040 0.5000 0.0000

Summary:
* calculated density: 9.06 g/cm3
* space-group type: No. 65
* E: -45.38 eV/f.u.



13.
# TlB2Mo2

A relaxed structure of TlB2Mo2 (PBE-GGA, OQMD).

Unit cell a=3.0427 b=14.1966 c=3.0783 alpha=90.00 beta=90.00 gamma=90.00
Atoms (fractional coordinates):
Tl 0.0000 0.0000 0.0000
Tl 0.5000 0.5000 0.0000
B 0.0000 0.2172 0.0000
B 0.0000 0.7828 0.0000
B 0.5000 0.2828 0.0000
B 0.5000 0.7172 0.0000
Mo 0.0000 0.3383 0.5000
Mo 0.0000 0.6617 0.5000
Mo 0.5000 0.1617 0.5000
Mo 0.5000 0.8383 0.5000

Summary:
* calculated density: 10.44 g/cm3
* space-group type: No. 65
* E: -37.43 eV/f.u.



14.
# TcPPbO

A relaxed structure of TcPPbO (PBE-GGA, OQMD).

Unit cell a=4.2255 b=4.2255 c=9.3190 alpha=90.00 beta=90.00 gamma=90.00
Atoms (fractional coordinates):
Tc 0.2500 0.2500 0.0415
Tc 0.7500 0.7500 0.9585
P 0.2500 0.2500 0.2702
P 0.7500 0.7500 0.7298
Pb 0.2500 0.7500 0.5000
Pb 0.7500 0.2500 0.5000
O 0.2500 0.7500 0.0000
O 0.7500 0.2500 0.0000

Summary:
* calculated density: 7.03 g/cm3
* space-group type: No. 129
* E above lowest polymorph: 545.9 meV/atom
* E: -24.40 eV/f.u.



15.
# Dy2Y2ErLu2Ni2Te2

A relaxed structure of Dy2Y2ErLu2Ni2Te2 (PBE-GGA, OQMD).

Unit cell a=9.2963 b=9.2963 c=9.2963 alpha=156.22 beta=67.06 gamma=118.34
Atoms (fractional coordinates):
Dy 0.1467 0.0000 0.1467
Dy 0.8533 0.0000 0.8533
Y 0.1673 0.3516 0.8157
Y 0.5359 0.3516 0.1843
Er 0.2309 0.7309 0.5000
Lu 0.5165 0.1490 0.3675
Lu 0.7815 0.1490 0.6325
Ni 0.3979 0.6584 0.7395
Ni 0.9189 0.6584 0.2605
Te 0.4968 0.4968 0.0000
Te 0.8937 0.3937 0.5000

Summary:
* calculated density: 8.17 g/cm3
* space-group type: No. 44
* E above lowest polymorph: 16.5 meV/atom
* E: -60.50 eV/f.u.



16.
# DyTmGe2Pd

A relaxed structure of DyTmGe2Pd (PBE-GGA, OQMD).

Unit cell a=5.7074 b=5.7074 c=10.1839 alpha=115.16 beta=115.16 gamma=44.31
Atoms (fractional coordinates):
Dy 0.1838 0.1838 0.1066
Dy 0.8162 0.8162 0.8934
Tm 0.0060 0.0060 0.3284
Tm 0.9940 0.9940 0.6716
Ge 0.3637 0.3637 0.4289
Ge 0.4740 0.4740 0.1182
Ge 0.5260 0.5260 0.8818
Ge 0.6363 0.6363 0.5711
Pd 0.2770 0.2770 0.6426
Pd 0.7230 0.7230 0.3574

Summary:
* calculated density: 9.41 g/cm3
* space-group type: No. 12
* E: -28.10 eV/f.u.



17.
# Pr2BC

A relaxed structure of Pr2BC (PBE-GGA, OQMD).

Unit cell a=13.4496 b=3.7005 c=9.6438 alpha=90.00 beta=131.46 gamma=90.00
Atoms (fractional coordinates):
Pr 0.0593 0.0000 0.3604
Pr 0.2077 0.5000 0.1191
Pr 0.2923 0.0000 0.8809
Pr 0.4407 0.5000 0.6396
Pr 0.5593 0.5000 0.3604
Pr 0.7077 0.0000 0.1191
Pr 0.7923 0.5000 0.8809
Pr 0.9407 0.0000 0.6396
B 0.0736 0.5000 0.6074
B 0.4264 0.0000 0.3926
B 0.5736 0.0000 0.6074
B 0.9264 0.5000 0.3926
C 0.1271 0.5000 0.8020
C 0.3729 0.0000 0.1980
C 0.6271 0.0000 0.8020
C 0.8729 0.5000 0.1980

Summary:
* calculated density: 5.63 g/cm3
* space-group type: No. 12
* E: -26.57 eV/f.u.



18.
# Nb4PC3

A relaxed structure of Nb4PC3 (PBE-GGA, OQMD).

Unit cell a=3.2286 b=3.2286 c=22.2503 alpha=90.00 beta=90.00 gamma=120.00
Atoms (fractional coordinates):
Nb 0.0000 0.0000 0.1701
Nb 0.0000 0.0000 0.3299
Nb 0.0000 0.0000 0.6701
Nb 0.0000 0.0000 0.8299
Nb 0.3333 0.6667 0.0601
Nb 0.3333 0.6667 0.4399
Nb 0.6667 0.3333 0.5601
Nb 0.6667 0.3333 0.9399
P 0.3333 0.6667 0.2500
P 0.6667 0.3333 0.7500
C 0.0000 0.0000 0.0000
C 0.0000 0.0000 0.5000
C 0.3333 0.6667 0.6160
C 0.3333 0.6667 0.8840
C 0.6667 0.3333 0.1160
C 0.6667 0.3333 0.3840

Summary:
* calculated density: 7.25 g/cm3
* space-group type: No. 194
* E: -78.28 eV/f.u.



19.
# TmPaBe

A relaxed structure of TmPaBe (PBE-GGA, OQMD).

Unit cell a=6.4938 b=6.4938 c=6.4938 alpha=90.00 beta=90.00 gamma=90.00
Atoms (fractional coordinates):
Tm 0.0000 0.0000 0.0000
Tm 0.0000 0.5000 0.5000
Tm 0.5000 0.0000 0.5000
Tm 0.5000 0.5000 0.0000
Pa 0.0000 0.0000 0.5000
Pa 0.0000 0.5000 0.0000
Pa 0.5000 0.0000 0.0000
Pa 0.5000 0.5000 0.5000
Be 0.2500 0.2500 0.7500
Be 0.2500 0.7500 0.2500
Be 0.7500 0.2500 0.2500
Be 0.7500 0.7500 0.7500

Summary:
* calculated density: 9.92 g/cm3
* space-group type: No. 216
* E above lowest polymorph: 0.0 meV/atom
* E: -16.20 eV/f.u.



20.
# LaTbBr2O2

A relaxed structure of LaTbBr2O2 (PBE-GGA, OQMD).

Unit cell a=3.9388 b=3.9388 c=8.3122 alpha=90.00 beta=90.00 gamma=90.00
Atoms (fractional coordinates):
La 0.0000 0.0000 0.0000
Tb 0.5000 0.5000 0.7122
Br 0.0000 0.0000 0.5157
Br 0.5000 0.5000 0.1967
O 0.0000 0.5000 0.8459
O 0.5000 0.0000 0.8459

Summary:
* calculated density: 6.30 g/cm3
* space-group type: No. 99
* E: -40.44 eV/f.u.